Record 1
# ScSbRu2 PBE optimized geometry
data_ScSbRu2
_chemical_formula_sum 'Sc2 Sb2 Ru4'
_space_group_name_H-M_alt 'C 1 m 1'
_space_group_IT_number 8
_space_group_name_Hall 'C -2y'
_cell_length_a 9.6755
_cell_length_b 3.2301
_cell_length_c 4.5455
_cell_angle_alpha 90.00
_cell_angle_beta 107.79
_cell_angle_gamma 90.00
loop_
_atom_site_label
_atom_site_type_symbol
_atom_site_fract_x
_atom_site_fract_y
_atom_site_fract_z
Sc1 Sc 0.0000 0.0000 0.0000
Sb1 Sb 0.2355 0.0000 0.6278
Ru1 Ru 0.2448 0.5000 0.1218
Ru2 Ru 0.4966 0.0000 0.5081
# E_tot (eV per atom): -7.61
# Crystal system: monoclinic

***

Record 2
# CrFeAu2 PBE optimized geometry
data_CrFeAu2
_chemical_formula_sum 'Cr1 Fe1 Au2'
_space_group_name_H-M_alt 'P 4/m m m'
_space_group_IT_number 123
_space_group_name_Hall '-P 4 2'
_cell_length_a 4.6627
_cell_length_b 4.6627
_cell_length_c 2.9821
_cell_angle_alpha 90.00
_cell_angle_beta 90.00
_cell_angle_gamma 90.00
loop_
_atom_site_label
_atom_site_type_symbol
_atom_site_fract_x
_atom_site_fract_y
_atom_site_fract_z
Cr1 Cr 0.0000 0.0000 0.0000
Fe1 Fe 0.5000 0.5000 0.0000
Au1 Au 0.0000 0.5000 0.5000
# E_tot (eV per atom): -5.93
# Crystal system: tetragonal
# Energy of formation from the pure elements (eV/atom): 0.2344